A plane-wave DFT calculation with GGA-PBE was carried out for a relaxed Ac3Tl4Pd4 crystal.

a b c (Å): 4.3746 8.4208 9.1065
angles (deg): 117.54 103.90 90.00
Last column: nearest neighbours and their distance in Å.
Positions (direct):
Ac  0.1232  0.1232  0.2465  6 Pd 3.26-3.29, 6 Tl 3.45-3.61
Ac  0.8768  0.8768  0.7535  6 Pd 3.26-3.29, 6 Tl 3.45-3.61
Ac  0.0000  0.5000  0.0000  6 Pd 3.44, 8 Tl 3.80
Tl  0.3301  0.1346  0.6602  4 Pd 2.83-3.07
Tl  0.6699  0.4744  0.3398  4 Pd 2.83-3.07
Tl  0.6699  0.8654  0.3398  4 Pd 2.83-3.07
Tl  0.3301  0.5256  0.6602  4 Pd 2.83-3.07
Pd  0.2216  0.7216  0.4432  6 Tl 2.85-3.07
Pd  0.7784  0.2784  0.5568  6 Tl 2.85-3.07
Pd  0.5000  0.8160  0.0000  2 Tl 2.83, 1 Pd 3.10
Pd  0.5000  0.1840  0.0000  2 Tl 2.83, 1 Pd 3.10

Output
The calculation puts the total moment at 0.0 μB/f.u. The calculation puts the final energy at -0.3262 Ry per atom.